## VZnF2 (GGA+U)

Data for a relaxed VZnF2 crystal.

Geometry as POSCAR:
```
VZnF2
1.0
-4.431 -2.800 -1.968
1.726 -4.609 2.670
-4.448 -2.127 5.075
F V Zn
4 2 2
Direct
0.875 0.626 0.750
0.374 0.625 0.250
0.375 0.624 0.750
0.376 0.125 0.250
0.500 0.500 0.000
0.250 0.750 0.500
0.000 0.000 0.000
0.750 0.250 0.500
```

Output
E = -4.5609 eV per atom
E above lowest polymorph = 283 meV per atom